A plane-wave DFT calculation with PBE-GGA was carried out for an optimized crystal structure of TlSn2As.

Cell: 3.9480 3.9480 8.7090 Å, 76.90 76.90 60.00°
Sites, in units of the cell vectors:
Tl1 0.5000 0.5000 0.5000
As1 0.0000 0.0000 0.0000
Sn1 0.2644 0.2644 0.2069
Sn2 0.7356 0.7356 0.7931

Results
* formation enthalpy at 0 K: 0.0195 eV/atom
* energy relative to the lowest polymorph listed for this composition: 0 meV/atom

A plane-wave DFT calculation with PBE-GGA was carried out for an optimized crystal structure of Nd4Mg5Ag2.

Cell: 3.5507 8.1141 10.5258 Å, 93.30 90.00 90.00°
Sites, in units of the cell vectors:
Mg1 0.0000 0.4358 0.7013
Mg2 0.0000 0.5000 0.0000
Mg3 0.0000 0.5642 0.2987
Mg4 0.0000 0.8004 0.8341
Mg5 0.0000 0.1996 0.1659
Nd1 0.5000 0.7423 0.5524
Nd2 0.5000 0.1589 0.8758
Nd3 0.5000 0.2577 0.4476
Nd4 0.5000 0.8411 0.1242
Ag1 0.0000 0.0599 0.6370
Ag2 0.0000 0.9401 0.3630

Results
* formation enthalpy at 0 K: -0.1077 eV/atom

A plane-wave DFT calculation with PBE-GGA was carried out for an optimized crystal structure of LiMgNb2Sn.

Cell: 4.5326 4.6208 4.5326 Å, 90.00 90.00 90.00°
Sites, in units of the cell vectors:
Nb1 0.0000 0.0000 0.5000
Nb2 0.5000 0.0000 0.0000
Li1 0.0000 0.0000 0.0000
Mg1 0.5000 0.5000 0.5000
Sn1 0.0000 0.5000 0.0000

Results
* formation enthalpy at 0 K: 0.7134 eV/atom

A plane-wave DFT calculation with PBE-GGA was carried out for an optimized crystal structure of RuPt3W.

Cell: 4.7989 4.7989 4.7989 Å, 90.00 90.00 90.00°
Last column: magnetic moment on the atom in μB.
Sites, in units of the cell vectors:
Ru1 0.5000 0.5000 0.5000  2.40
Pt1 0.0000 0.5000 0.0000  -0.02
Pt2 0.5000 0.0000 0.0000  0.07
Pt3 0.0000 0.0000 0.5000  -0.09
W1 0.0000 0.0000 0.0000  0.09

Results
* formation enthalpy at 0 K: 1.5880 eV/atom
* energy relative to the lowest polymorph listed for this composition: 0 meV/atom

A plane-wave DFT calculation with PBE-GGA was carried out for an optimized crystal structure of Ce2Tl2NiS6.

Cell: 6.7381 6.7381 7.8883 Å, 98.60 98.60 119.68°
Last column: magnetic moment on the atom in μB.
Sites, in units of the cell vectors:
Ce1 0.3339 0.6661 0.5000  0.23
Ce2 0.6661 0.3339 0.5000  0.23
S1 0.9343 0.6213 0.3096  0.04
S2 0.6213 0.9343 0.3096  0.04
S3 0.7668 0.7668 0.6856  0.05
S4 0.0657 0.3787 0.6904  0.04
S5 0.3787 0.0657 0.6904  0.04
S6 0.2332 0.2332 0.3144  0.05
Ni1 0.0000 0.0000 0.5000  1.16
Tl1 0.1713 0.8287 0.0000  0.01
Tl2 0.8287 0.1713 0.0000  0.01

Results
* formation energy (no corrections): -1.0243 eV/atom

A plane-wave DFT calculation with PBE-GGA was carried out for an optimized crystal structure of NbBiPb2O.

Cell: 6.0692 5.4052 6.0692 Å, 90.00 90.00 90.00°
Last column: magnetic moment on the atom in μB.
Sites, in units of the cell vectors:
Nb1 0.0000 0.5000 0.0000  2.24
Pb1 0.0000 0.0000 0.5000  0.00
Pb2 0.5000 0.0000 0.0000  -0.03
Bi1 0.0000 0.0000 0.0000  -0.07
O1 0.5000 0.5000 0.5000  0.10

Results
* formation energy (no corrections): 1.5442 eV/atom

| no. | M_tot (μB per formula unit) |
| --- | --- |
| 1 | 0.00 |
| 2 | 0.00 |
| 3 | 0.00 |
| 4 | 2.55 |
| 5 | 2.21 |
| 6 | 2.95 |